Model a:
PrThRh | PBE-GGA | relaxed

a b c (Å): 4.230 4.230 11.890
angles (deg): 100.16 79.84 120.09
Sites, in units of the cell vectors:
Rh 0.756 0.744 0.733
Pr 0.624 0.876 0.127
Pr 0.376 0.124 0.873
Th 0.873 0.628 0.385
Rh 0.244 0.256 0.267
Th 0.127 0.372 0.615

Summary:
calculated volume: 30.0 Å³ per atom
space group: C2/m, No. 12

=====

Model b:
PrThRh | PBE-GGA | relaxed

a b c (Å): 3.677 3.677 6.352
angles (deg): 106.83 106.83 90.00
Sites, in units of the cell vectors:
Th 0.302 0.302 0.604
Rh 0.691 0.691 0.382
Pr 0.007 0.007 0.014

Summary:
calculated volume: 26.1 Å³ per atom
space group: I4mm, No. 107

=====

Tell me which of them is the least stable. Sure, it is model b.

=====

Model a:
Pr3Tl2Rh | PBE-GGA | relaxed

a b c (Å): 8.017 6.976 8.190
angles (deg): 83.94 79.42 54.93
Sites, in units of the cell vectors:
Pr 0.678 0.000 0.824
Pr 0.095 0.360 0.769
Pr 0.545 0.360 0.231
Pr 0.322 0.000 0.176
Pr 0.905 0.640 0.231
Tl 0.132 0.736 0.500
Rh 0.297 0.406 0.000
Tl 0.000 0.000 0.000
Tl 0.500 0.000 0.500
Tl 0.868 0.264 0.500
Rh 0.703 0.594 0.000
Pr 0.455 0.640 0.769

Summary:
calculated volume: 30.7 Å³ per atom
space group: C2/m, No. 12

=====

Model b:
Pr3Tl2Rh | PBE-GGA | relaxed

a b c (Å): 4.146 13.013 13.281
angles (deg): 90.00 90.00 90.00
Sites, in units of the cell vectors:
Pr 0.250 0.036 0.883
Pr 0.250 0.376 0.037
Pr 0.250 0.783 0.748
Rh 0.750 0.877 0.866
Pr 0.250 0.717 0.248
Tl 0.750 0.998 0.686
Pr 0.750 0.217 0.252
Tl 0.250 0.695 0.505
Rh 0.250 0.123 0.134
Rh 0.250 0.377 0.634
Tl 0.750 0.502 0.186
Tl 0.250 0.002 0.314
Pr 0.750 0.624 0.963
Pr 0.750 0.283 0.752
Pr 0.250 0.124 0.537
Tl 0.750 0.195 0.995
Tl 0.250 0.498 0.814
Pr 0.750 0.536 0.617
Pr 0.750 0.964 0.117
Tl 0.750 0.305 0.495
Pr 0.250 0.464 0.383
Rh 0.750 0.623 0.366
Pr 0.750 0.876 0.463
Tl 0.250 0.805 0.005

Summary:
calculated volume: 29.9 Å³ per atom
space group: Pnma, No. 62

=====

Tell me which of them is the least stable. Sure, it is model a.

=====

Model a:
Pr4TlRh | PBE-GGA | relaxed

a b c (Å): 6.230 8.585 8.492
angles (deg): 113.70 102.96 106.39
Sites, in units of the cell vectors:
Pr 0.645 0.070 0.369
Pr 0.687 0.345 0.142
Rh 0.249 0.999 0.998
Rh 0.751 0.001 0.002
Pr 0.313 0.655 0.858
Pr 0.224 0.299 0.369
Tl 0.370 0.620 0.241
Pr 0.045 0.203 0.858
Pr 0.776 0.701 0.631
Pr 0.955 0.797 0.142
Pr 0.355 0.930 0.631
Tl 0.630 0.380 0.759

Summary:
calculated volume: 30.7 Å³ per atom
space group: C2/c, No. 15

=====

Model b:
Pr4TlRh | PBE-GGA | relaxed

a b c (Å): 10.065 10.065 10.065
angles (deg): 60.00 60.00 60.00
Sites, in units of the cell vectors:
Rh 0.608 0.176 0.608
Pr 0.559 0.559 0.941
Tl 0.166 0.166 0.166
Rh 0.608 0.608 0.176
Pr 0.559 0.941 0.941
Tl 0.166 0.166 0.502
Pr 0.810 0.810 0.190
Pr 0.559 0.941 0.559
Pr 0.941 0.559 0.559
Tl 0.166 0.502 0.166
Pr 0.190 0.810 0.190
Rh 0.176 0.608 0.608
Pr 0.810 0.190 0.810
Pr 0.941 0.941 0.559
Pr 0.401 0.401 0.401
Pr 0.190 0.810 0.810
Pr 0.190 0.190 0.810
Pr 0.797 0.401 0.401
Tl 0.502 0.166 0.166
Rh 0.608 0.608 0.608
Pr 0.401 0.401 0.797
Pr 0.810 0.190 0.190
Pr 0.941 0.559 0.941
Pr 0.401 0.797 0.401

Summary:
calculated volume: 30.0 Å³ per atom
space group: F-43m, No. 216

=====

Tell me which of them is the least stable. Sure, it is model a.

=====

Model a:
Pr6Tl2Rh | PBE-GGA | relaxed

a b c (Å): 3.920 9.039 9.039
angles (deg): 120.00 90.00 90.00
Sites, in units of the cell vectors:
Pr 0.000 0.241 0.000
Pr 0.000 0.000 0.241
Rh 0.500 0.000 0.000
Tl 0.000 0.667 0.333
Pr 0.500 0.400 0.400
Tl 0.000 0.333 0.667
Pr 0.000 0.759 0.759
Pr 0.500 0.600 0.000
Pr 0.500 0.000 0.600

Summary:
calculated volume: 30.8 Å³ per atom
space group: P-62m, No. 189

=====

Model b:
Pr6Tl2Rh | PBE-GGA | relaxed

a b c (Å): 7.497 7.402 10.797
angles (deg): 90.00 91.82 90.00
Sites, in units of the cell vectors:
Tl 0.977 0.435 0.756
Pr 0.299 0.811 0.039
Rh 0.000 0.000 0.500
Pr 0.201 0.311 0.461
Pr 0.799 0.689 0.539
Tl 0.477 0.065 0.256
Rh 0.500 0.500 0.000
Pr 0.409 0.498 0.748
Pr 0.691 0.203 0.539
Pr 0.191 0.297 0.039
Pr 0.809 0.703 0.961
Pr 0.909 0.002 0.248
Tl 0.523 0.935 0.744
Pr 0.701 0.189 0.961
Pr 0.309 0.797 0.461
Pr 0.091 0.998 0.752
Tl 0.023 0.565 0.244
Pr 0.591 0.502 0.252

Summary:
calculated volume: 33.3 Å³ per atom
space group: P2_1/c, No. 14

=====

Tell me which of them is the least stable. Sure, it is model b.

=====

Model a:
Pr2TmRh | PBE-GGA | relaxed

a b c (Å): 3.657 3.657 8.529
angles (deg): 90.00 90.00 90.00
Site moments in Bohr magnetons follow the coordinates.
Sites, in units of the cell vectors:
Rh 0.500 0.500 0.000  0.08
Pr 0.000 0.000 0.803  0.09
Pr 0.000 0.000 0.197  0.09
Tm 0.500 0.500 0.500  0.45

Summary:
calculated volume: 28.5 Å³ per atom
space group: P4/mmm, No. 123

=====

Model b:
Pr2TmRh | PBE-GGA | relaxed

a b c (Å): 3.717 3.717 10.887
angles (deg): 80.17 80.17 60.00
Sites, in units of the cell vectors:
Rh 0.500 0.500 0.500
Pr 0.891 0.891 0.326
Pr 0.109 0.109 0.674
Tm 0.000 0.000 0.000

Summary:
calculated volume: 31.9 Å³ per atom
space group: R-3m, No. 166

=====

Tell me which of them is the least stable. Sure, it is model b.

=====

Model a:
Pr2YRh | PBE-GGA | relaxed

a b c (Å): 3.943 3.943 9.698
angles (deg): 78.27 78.27 60.00
Site moments in Bohr magnetons follow the coordinates.
Sites, in units of the cell vectors:
Pr 0.272 0.272 0.183  0.04
Rh 0.666 0.666 0.001  0.02
Pr 0.061 0.061 0.818  0.04
Y 0.501 0.501 0.498  0.20

Summary:
calculated volume: 31.7 Å³ per atom
space group: R3m, No. 160

=====

Model b:
Pr2YRh | PBE-GGA | relaxed

a b c (Å): 6.486 6.771 11.646
angles (deg): 90.00 90.00 90.00
Sites, in units of the cell vectors:
Y 0.250 0.573 0.250
Y 0.250 0.073 0.750
Pr 0.256 0.090 0.413
Pr 0.756 0.910 0.913
Rh 0.000 0.250 0.589
Pr 0.744 0.410 0.413
Y 0.750 0.427 0.750
Pr 0.256 0.590 0.587
Rh 0.500 0.250 0.911
Pr 0.744 0.910 0.587
Pr 0.756 0.410 0.087
Y 0.750 0.927 0.250
Rh 0.500 0.750 0.089
Rh 0.000 0.750 0.411
Pr 0.244 0.090 0.087
Pr 0.244 0.590 0.913

Summary:
calculated volume: 32.0 Å³ per atom
space group: Pnna, No. 52

=====

Model c:
Pr2YRh | PBE-GGA | relaxed

a b c (Å): 3.752 3.752 10.939
angles (deg): 80.12 80.12 60.00
Sites, in units of the cell vectors:
Pr 0.890 0.890 0.329
Rh 0.500 0.500 0.500
Y 0.000 0.000 0.000
Pr 0.110 0.110 0.671

Summary:
calculated volume: 32.7 Å³ per atom
space group: R-3m, No. 166

=====

Tell me which of them is the least stable. Sure, it is model c.

=====

Model a:
Pr2YRh | PBE-GGA | relaxed

a b c (Å): 3.648 3.648 8.811
angles (deg): 90.00 90.00 90.00
Site moments in Bohr magnetons follow the coordinates.
Sites, in units of the cell vectors:
Rh 0.500 0.500 0.000  0.04
Pr 0.000 0.000 0.809  0.04
Pr 0.000 0.000 0.191  0.04
Y 0.500 0.500 0.500  0.20

Summary:
calculated volume: 29.3 Å³ per atom
space group: P4/mmm, No. 123

=====

Model b:
Pr2YRh | PBE-GGA | relaxed

a b c (Å): 6.384 7.325 10.071
angles (deg): 90.00 90.00 90.00
Sites, in units of the cell vectors:
Pr 0.169 0.677 0.066
Y 0.151 0.963 0.750
Pr 0.331 0.177 0.066
Y 0.849 0.037 0.250
Pr 0.169 0.677 0.434
Rh 0.442 0.877 0.250
Pr 0.331 0.177 0.434
Y 0.349 0.463 0.750
Pr 0.831 0.323 0.934
Rh 0.558 0.123 0.750
Rh 0.942 0.623 0.750
Y 0.651 0.537 0.250
Pr 0.669 0.823 0.566
Pr 0.831 0.323 0.566
Pr 0.669 0.823 0.934
Rh 0.058 0.377 0.250

Summary:
calculated volume: 29.4 Å³ per atom
space group: Pnma, No. 62

=====

Tell me which of them is the least stable. Sure, it is model a.

=====

Model a:
Pr2YRh3 | PBE-GGA | relaxed

a b c (Å): 4.166 5.770 6.979
angles (deg): 114.42 107.37 90.00
Sites, in units of the cell vectors:
Rh 0.656 0.656 0.313
Pr 0.669 0.169 0.338
Rh 0.000 0.000 0.000
Rh 0.344 0.344 0.687
Y 0.000 0.500 0.000
Pr 0.331 0.831 0.662

Summary:
calculated volume: 24.1 Å³ per atom
space group: Immm, No. 71

=====

Model b:
Pr2YRh3 | PBE-GGA | relaxed

a b c (Å): 7.814 7.814 7.210
angles (deg): 90.00 90.00 143.28
Sites, in units of the cell vectors:
Rh 0.831 0.169 0.239
Y 0.668 0.332 0.000
Rh 0.500 0.500 0.244
Rh 0.831 0.169 0.761
Rh 0.169 0.831 0.761
Rh 0.500 0.500 0.756
Pr 0.000 0.000 0.000
Rh 0.169 0.831 0.239
Pr 0.667 0.333 0.500
Pr 0.000 0.000 0.500
Pr 0.333 0.667 0.500
Y 0.332 0.668 0.000

Summary:
calculated volume: 21.9 Å³ per atom
space group: Cmmm, No. 65

=====

Tell me which of them is the least stable. Sure, it is model a.